Record 1
# GGA-PBE Rb2AgClF3, optimized geometry
# Magnetization = 0.00 μB/f.u.
# Raw formation energy = -1834 meV/atom
# Raw total energy = -3.58 eV per atom
# Crystal system = orthorhombic
# DOS(E_F) = 7.37 states/eV per cell
data_Rb2AgClF3
_chemical_formula_sum 'Rb4 Ag2 Cl2 F6'
_cell_length_a 4.4851
_cell_length_b 4.8383
_cell_length_c 14.7936
_cell_angle_alpha 90.00
_cell_angle_beta 90.00
_cell_angle_gamma 90.00
_symmetry_space_group_name_H-M 'I m m m'
_symmetry_Int_Tables_number 71
_symmetry_space_group_name_Hall '-I 2 2'
loop_
_atom_site_label
_atom_site_fract_x
_atom_site_fract_y
_atom_site_fract_z
_atom_site_occupancy
Rb1 0.0000 0.0000 0.1570 1
Ag1 0.0000 0.0000 0.5000 1
Cl1 0.0000 0.5000 0.5000 1
F1 0.0000 0.0000 0.3406 1
F2 0.0000 0.5000 0.0000 1


Record 2
# GGA-PBE Li2Ag12Sn5, optimized geometry
# Energy of formation = 0.0769 eV/atom
# Magnetization = 0.00 μB/f.u.
# Raw total energy = -2.98 eV per atom
# Crystal system = monoclinic
# DOS(E_F) = 12.99 states/eV per cell
data_Li2Ag12Sn5
_chemical_formula_sum 'Li4 Ag24 Sn10'
_cell_length_a 15.6868
_cell_length_b 5.9699
_cell_length_c 9.4702
_cell_angle_alpha 90.00
_cell_angle_beta 106.13
_cell_angle_gamma 90.00
_symmetry_space_group_name_H-M 'C 1 2/m 1'
_symmetry_Int_Tables_number 12
_symmetry_space_group_name_Hall '-C 2y'
loop_
_atom_site_label
_atom_site_fract_x
_atom_site_fract_y
_atom_site_fract_z
_atom_site_occupancy
Li1 0.0000 0.2444 0.0000 1
Ag1 0.0167 0.0000 0.3608 1
Ag2 0.1484 0.5000 0.3414 1
Ag3 0.1529 0.2396 0.6134 1
Ag4 0.2003 0.2667 0.1109 1
Sn1 0.0000 0.5000 0.5000 1
Sn2 0.1300 0.0000 0.8702 1
Sn3 0.1895 0.0000 0.3556 1


Record 3
# GGA-PBE CsHfS3, optimized geometry
# Excess energy over the best structure of this formula in the dataset = 0.114 eV per atom
# Magnetization = 0.00 μB/f.u.
# Raw formation energy = -1283 meV/atom
# Raw total energy = -5.92 eV per atom
# Crystal system = triclinic
# DOS(E_F) = 0.00 states/eV per cell
data_CsHfS3
_chemical_formula_sum 'Cs2 Hf2 S6'
_cell_length_a 7.1688
_cell_length_b 7.3699
_cell_length_c 7.4378
_cell_angle_alpha 116.95
_cell_angle_beta 111.27
_cell_angle_gamma 99.09
_symmetry_space_group_name_H-M 'P 1'
_symmetry_Int_Tables_number 1
_symmetry_space_group_name_Hall 'P 1'
loop_
_atom_site_label
_atom_site_fract_x
_atom_site_fract_y
_atom_site_fract_z
_atom_site_occupancy
Cs1 0.0000 0.0000 0.0000 1
Cs2 0.4105 0.8756 0.5328 1
Hf1 0.1260 0.3710 0.7165 1
Hf2 0.7548 0.5744 0.1806 1
S1 0.3894 0.3919 0.5686 1
S2 0.3962 0.3011 0.9990 1
S3 0.5045 0.6794 0.8947 1
S4 0.8831 0.9817 0.4429 1
S5 0.9289 0.5222 0.4911 1
S6 0.9587 0.4881 0.9780 1